Density functional theory data (meta-GGA SCAN) for a PBEsol-optimized structure of Ru3W.

Unit cell a=2.746 b=4.317 c=4.686 alpha=90.00 beta=90.00 gamma=90.00
Fractional coordinates of all 4 atoms:
Ru1 0.000 0.000 0.000
Ru2 0.000 0.500 0.343
Ru3 0.500 0.000 0.495
W1 0.500 0.500 0.834

Magnetic moment (μB per atom): 0.00
Space-group type: Pmm2, No. 25
Raw total energy (eV/atom): -43.560
Density of states at the Fermi level (states/eV/f.u.): 3.4